# LaNd2Ni6

LaNd2Ni6 after structural relaxation (GGA-PBE, the Alexandria database).

Values from the calculation:
ΔH_f (0 K) ... -317 meV per atom
Mass density ... 7.62 g/cm3

Lattice parameters (Å, degrees): 7.0024 7.0024 4.0028 90.00 90.00 120.00
Space group P6/mmm (No. 191)
Inequivalent atoms, fractional coordinates:
La 0.0000 0.0000 0.0000 [1 per cell]
Nd 0.3333 0.6667 0.0000 [2 per cell]
Ni 0.0000 0.3343 0.5000 [6 per cell]